Below is crystalline VGa2O4 at its relaxed geometry, with properties calculated at the PBE with a Hubbard U level.

Its symmetry is Imma, No. 74. For the total energy, the calculation gives -6.571 eV per atom. The calculation puts the calculated volume at 11.0 Å³ per atom.

Cell lengths 6.028, 6.028, 6.028 Å; angles 120.94, 119.37, 89.74 degrees
Positions (direct):
V 0.500 0.000 0.000
V 0.500 0.500 0.500
Ga 0.000 0.000 0.000
Ga 0.118 0.368 0.750
Ga 0.500 0.000 0.500
Ga 0.882 0.632 0.250
O 0.238 0.236 0.002
O 0.250 0.234 0.484
O 0.250 0.766 0.016
O 0.266 0.764 0.502
O 0.734 0.236 0.498
O 0.750 0.234 0.984
O 0.750 0.766 0.516
O 0.762 0.764 0.998